1.
! LiLa2TlPd6 (PBE-GGA, optimized geometry); values from VASP
&SYSTEM
  ibrav = 0, nat = 10, ntyp = 4
/
ATOMIC_SPECIES
Li 6.94 Li.upf
La 138.91 La.upf
Tl 204.38 Tl.upf
Pd 106.42 Pd.upf
CELL_PARAMETERS angstrom
4.9340 -2.8494 0.0000
4.9340 2.8494 0.0000
-3.2975 0.0000 8.2787
ATOMIC_POSITIONS angstrom
Li 0.0000 0.0000 0.0000
La -0.0099 0.0000 7.2186
La 6.5803 0.0000 1.0601
Tl 3.2852 0.0000 4.1394
Pd 1.6503 0.0000 1.8521
Pd 4.1139 1.4217 1.8560
Pd 2.4566 1.4217 6.4227
Pd 4.1139 -1.4217 1.8560
Pd 2.4566 -1.4217 6.4227
Pd 4.9201 0.0000 6.4266
! ΔE_f = -0.493 eV per atom

2.
! AlCd3 (PBE-GGA, optimized geometry); values from VASP
&SYSTEM
  ibrav = 0, nat = 8, ntyp = 2
/
ATOMIC_SPECIES
Al 26.98 Al.upf
Cd 112.41 Cd.upf
CELL_PARAMETERS angstrom
5.6110 0.0000 0.0000
0.0000 5.6110 0.0000
0.0000 0.0000 5.6110
ATOMIC_POSITIONS angstrom
Al 0.0000 0.0000 0.0000
Al 2.8055 2.8055 2.8055
Cd 0.0000 1.4028 2.8055
Cd 0.0000 4.2083 2.8055
Cd 1.4028 2.8055 0.0000
Cd 2.8055 0.0000 1.4028
Cd 2.8055 0.0000 4.2083
Cd 4.2083 2.8055 0.0000
! ΔE_f = 0.162 eV per atom

3.
! Tb3Pm2Sm3 (PBE-GGA, optimized geometry); values from VASP
&SYSTEM
  ibrav = 0, nat = 8, ntyp = 3
/
ATOMIC_SPECIES
Tb 158.93 Tb.upf
Pm 145.00 Pm.upf
Sm 150.36 Sm.upf
CELL_PARAMETERS angstrom
8.1307 -2.9215 0.0000
8.1307 2.9215 0.0000
-2.2097 0.0000 5.6354
ATOMIC_POSITIONS angstrom
Tb 0.0000 0.0000 0.0000
Tb 0.8345 0.0000 3.2604
Tb 13.2172 0.0000 2.3749
Pm 3.6568 0.0000 1.0366
Pm 10.3949 0.0000 4.5988
Sm 4.1936 0.0000 4.5866
Sm 7.0259 0.0000 2.8177
Sm 9.8581 0.0000 1.0488
! Energy relative to the lowest polymorph listed for this composition = 65.3 meV/atom
! ΔE_f = 0.091 eV per atom

4.
! LiPaTcPd (PBE-GGA, optimized geometry); values from VASP
&SYSTEM
  ibrav = 0, nat = 4, ntyp = 4
/
ATOMIC_SPECIES
Li 6.94 Li.upf
Pa 231.04 Pa.upf
Tc 98.00 Tc.upf
Pd 106.42 Pd.upf
CELL_PARAMETERS angstrom
0.0000 3.2603 3.2603
3.2603 0.0000 3.2603
3.2603 3.2603 0.0000
ATOMIC_POSITIONS angstrom
Li 0.0000 0.0000 0.0000
Pa 3.2603 3.2603 3.2603
Tc 4.8905 4.8905 4.8905
Pd 1.6302 1.6302 1.6302
! ΔE_f = -0.196 eV per atom

5.
! Mn3H12Pt5 (PBE-GGA, optimized geometry); values from VASP
&SYSTEM
  ibrav = 0, nat = 80, ntyp = 3
/
ATOMIC_SPECIES
Mn 54.94 Mn.upf
H 1.01 H.upf
Pt 195.08 Pt.upf
CELL_PARAMETERS angstrom
-5.5583 5.5583 5.5583
5.5583 -5.5583 5.5583
5.5583 5.5583 -5.5583
ATOMIC_POSITIONS angstrom
Mn 2.7792 1.3896 0.0000
Mn 5.5583 2.7792 -1.3896
Mn 1.3896 0.0000 2.7792
Mn 6.9479 0.0000 2.7792
Mn 0.0000 2.7792 1.3896
Mn 2.7792 -1.3896 5.5583
Mn 2.7792 6.9479 0.0000
Mn 5.5583 2.7792 4.1687
Mn -1.3896 5.5583 2.7792
Mn 4.1687 5.5583 2.7792
Mn 0.0000 2.7792 6.9479
Mn 2.7792 4.1687 5.5583
H 1.7196 -0.1552 0.6564
H 6.6179 3.4356 -2.9343
H 7.2779 0.1552 0.6564
H 6.6179 -2.1227 2.9343
H 5.4031 -0.6564 1.7196
H 8.4926 -1.0596 2.1227
H 0.6564 1.7196 -0.1552
H 7.6810 2.6240 -1.0596
H 3.4356 2.9343 -1.0596
H 4.9019 1.7196 0.1552
H -0.1552 0.6564 1.7196
H 2.9343 -1.0596 3.4356
H 5.4031 4.9019 -1.7196
H 2.9343 1.0596 2.1227
H 3.4356 -2.9343 6.6179
H 4.9019 -1.7196 5.4031
H 2.1227 2.9343 1.0596
H 6.2147 3.8387 0.1552
H 2.9343 6.6179 -2.1227
H 5.4031 0.6564 3.8387
H 1.7196 5.4031 -0.6564
H 6.6179 2.1227 2.6240
H 1.0596 2.1227 2.9343
H 1.7196 0.1552 4.9019
H 3.8387 5.4031 0.6564
H 4.4987 3.4356 2.6240
H -1.0596 3.4356 2.9343
H 3.8387 0.1552 6.2147
H 0.1552 4.9019 1.7196
H 2.6240 -1.0596 7.6810
H -0.6564 1.7196 5.4031
H 3.4356 2.6240 4.4987
H 0.6564 7.2779 0.1552
H 2.1227 8.4926 -1.0596
H 2.6240 4.4987 3.4356
H 0.1552 0.6564 7.2779
H 2.6240 6.6179 2.1227
H 5.7135 4.9019 3.8387
H 0.6564 3.8387 5.4031
H 2.1227 2.6240 6.6179
H -2.1227 2.9343 6.6179
H 4.9019 3.8387 5.7135
H -2.9343 6.6179 3.4356
H 0.1552 6.2147 3.8387
H -1.0596 7.6810 2.6240
H -1.7196 5.4031 4.9019
H -1.0596 2.1227 8.4926
H 3.8387 5.7135 4.9019
Pt 0.0000 0.0000 0.0000
Pt 2.7792 2.7792 -2.7792
Pt 2.7792 -2.7792 2.7792
Pt 5.5583 0.0000 0.0000
Pt 8.3375 1.3896 0.0000
Pt 5.5583 -2.7792 4.1687
Pt 4.1687 5.5583 -2.7792
Pt 4.1687 0.0000 2.7792
Pt 2.7792 4.1687 0.0000
Pt 5.5583 2.7792 1.3896
Pt -2.7792 2.7792 2.7792
Pt 0.0000 5.5583 0.0000
Pt 0.0000 0.0000 5.5583
Pt 2.7792 2.7792 2.7792
Pt 0.0000 2.7792 4.1687
Pt 2.7792 1.3896 5.5583
Pt 1.3896 5.5583 2.7792
Pt 1.3896 0.0000 8.3375
Pt 0.0000 8.3375 1.3896
Pt -2.7792 4.1687 5.5583
! Calculated total energy = -4.78 eV/atom

6.
! NaScSnBr6 (PBE-GGA, optimized geometry); values from VASP
&SYSTEM
  ibrav = 0, nat = 18, ntyp = 4
/
ATOMIC_SPECIES
Na 22.99 Na.upf
Sc 44.96 Sc.upf
Sn 118.71 Sn.upf
Br 79.90 Br.upf
CELL_PARAMETERS angstrom
7.2235 0.0000 0.0000
-3.6118 6.2558 0.0000
0.0000 0.0000 12.7808
ATOMIC_POSITIONS angstrom
Na 0.0000 4.1705 3.1952
Na 3.6118 2.0853 9.5856
Sc 0.0000 4.1705 9.5856
Sc 3.6118 2.0853 3.1952
Sn 0.0000 0.0000 0.0000
Sn 0.0000 0.0000 6.3904
Br -1.1013 2.2824 8.0375
Br -2.1859 4.1608 11.1338
Br 1.1013 2.2824 11.1338
Br -1.0845 6.0684 8.0375
Br 2.5272 0.1874 1.6470
Br 1.4259 2.0949 4.7434
Br 2.1859 4.1608 8.0375
Br 1.0845 6.0684 11.1338
Br 4.6963 0.1874 4.7434
Br 2.5105 3.9734 1.6470
Br 5.7976 2.0949 1.6470
Br 4.7131 3.9734 4.7434
! Raw formation energy = -128.48 kJ/mol of atoms

Number 1: DOS at the Fermi energy 4.7 states/eV per cell. Number 2: DOS at the Fermi energy 3.5 states/eV per cell. Number 3: DOS at the Fermi energy 13.5 states/eV per cell. Number 4: DOS at the Fermi energy 2.9 states/eV per cell. Number 5: DOS at the Fermi energy 29.3 states/eV per cell. Number 6: DOS at the Fermi energy 0.0 states/eV per cell.